Be2IrPtAu | PBEsol | optimized geometry

extended XYZ file:
```
5
Lattice="4.1137 0.0000 0.0000 0.0000 4.1137 0.0000 0.0000 0.0000 4.8745" Properties=species:S:1:pos:R:3 pbc="T T T"
Be 0.0000 2.0568 0.0000
Be 2.0568 0.0000 0.0000
Ir 0.0000 0.0000 0.0000
Pt 0.0000 0.0000 2.4372
Au 2.0568 2.0568 2.4372
```

Calculated values
Energy of formation from the pure elements, meV/atom: 750
Space-group type: No. 123
Volume, Å³ per cell: 82.5

=====

La2BeAu | PBEsol | optimized geometry

extended XYZ file:
```
8
Lattice="4.3215 0.0000 0.0000 0.0000 4.3215 0.0000 0.0000 0.0000 9.8905" Properties=species:S:1:pos:R:3 pbc="T T T"
La 0.0000 0.0000 0.0000
La 0.0000 2.1607 2.4726
La 2.1607 0.0000 7.4178
La 2.1607 2.1607 4.9452
Be 0.0000 2.1607 7.4178
Be 2.1607 0.0000 2.4726
Au 0.0000 0.0000 4.9452
Au 2.1607 2.1607 0.0000
```

Calculated values
Energy of formation from the pure elements, meV/atom: -112
Space-group type: No. 119
Volume, Å³ per cell: 184.7

=====

LaBeAu3 | PBEsol | optimized geometry

extended XYZ file:
```
5
Lattice="4.5874 0.0000 0.0000 0.0000 4.5874 0.0000 0.0000 0.0000 4.5874" Properties=species:S:1:pos:R:3 pbc="T T T"
La 0.0000 0.0000 0.0000
Be 2.2937 2.2937 2.2937
Au 0.0000 2.2937 2.2937
Au 2.2937 0.0000 2.2937
Au 2.2937 2.2937 0.0000
```

Calculated values
Energy of formation from the pure elements, meV/atom: -488
Space-group type: No. 221
Volume, Å³ per cell: 96.5

=====

LaBeAu | PBEsol | optimized geometry

extended XYZ file:
```
12
Lattice="6.3897 0.0000 0.0000 0.0000 6.3897 0.0000 0.0000 0.0000 6.3897" Properties=species:S:1:pos:R:3 pbc="T T T"
La 0.0000 0.0000 0.0000
La 0.0000 3.1949 3.1949
La 3.1949 0.0000 3.1949
La 3.1949 3.1949 0.0000
Be 1.5974 1.5974 1.5974
Be 1.5974 4.7923 4.7923
Be 4.7923 1.5974 4.7923
Be 4.7923 4.7923 1.5974
Au 0.0000 0.0000 3.1949
Au 0.0000 3.1949 0.0000
Au 3.1949 0.0000 0.0000
Au 3.1949 3.1949 3.1949
```

Calculated values
Energy of formation from the pure elements, meV/atom: -53
Polymorph energy (0 for the lowest one), meV/atom: 0
Space-group type: No. 216
Volume, Å³ per cell: 260.9